VASP calculation (GGA-PBEsol) on crystalline CuTePb2 at its relaxed geometry. Values from VASP.

Structure (Quantum ESPRESSO input):
```
&SYSTEM
  ibrav = 0, nat = 4, ntyp = 3
/
ATOMIC_SPECIES
Cu 63.55 Cu.upf
Te 127.60 Te.upf
Pb 207.20 Pb.upf
CELL_PARAMETERS angstrom
2.077 -2.711 0.000
2.077 2.711 0.000
0.000 0.000 8.911
ATOMIC_POSITIONS angstrom
Cu 0.000 0.000 0.000
Te 2.077 0.000 7.340
Pb 0.000 0.000 4.590
Pb 2.077 0.000 1.874
```

Values from the calculation:
Space-group type: No. 35
Volume: 100.3 Å³ per cell
ΔE_f (raw): 0.151 eV per atom